(1)
Here is crystalline Li2FeP4O12 at its relaxed geometry from the Alexandria database. Energies are from PBEsol.

Structure (POSCAR):
```
Li2FeP4O12
1.0
5.211 0.000 0.000
-2.087 6.717 0.000
-0.569 -2.573 6.608
Li Fe P O
2 1 4 12
Cartesian
0.311 1.329 0.417
2.245 2.815 6.192
1.278 2.072 3.304
-0.761 4.031 1.901
-0.446 4.338 4.822
3.002 -0.194 1.786
3.317 0.113 4.707
-0.716 -0.016 5.582
-1.161 4.502 3.390
-1.475 4.027 5.844
-0.075 2.675 2.014
0.409 5.046 1.487
1.816 0.743 1.957
0.740 3.401 4.652
2.146 -0.902 5.122
2.630 1.469 4.595
4.031 0.117 0.764
3.716 -0.358 3.218
3.271 4.160 1.026
```

Calculated values
E_form (uncorrected) ... -2.077 eV per atom
Magnetic moment ... 4.00 μB/cell
Space group ... P-1



(2)
Here is crystalline LiFeP3O9 at its relaxed geometry from the Alexandria database. Energies are from PBEsol.

Structure (POSCAR):
```
LiFeP3O9
1.0
5.536 -3.341 0.000
5.536 3.341 0.000
-0.026 0.000 9.651
Li Fe P O
2 2 6 18
Cartesian
5.523 2.392 4.826
5.536 -2.392 0.000
3.538 0.002 4.520
3.525 -0.002 9.345
5.706 0.638 2.178
7.491 1.707 6.944
5.693 -0.638 7.003
8.621 1.044 2.072
7.503 -1.707 2.119
8.608 -1.044 6.897
1.835 0.961 0.778
3.533 1.799 8.222
3.801 1.888 5.644
2.165 0.767 3.320
5.180 1.092 3.509
1.822 -0.961 5.603
2.152 -0.767 8.146
4.817 0.795 0.991
6.138 0.887 7.183
7.066 1.394 1.828
4.804 -0.795 5.817
3.546 -1.799 3.396
3.814 -1.888 0.819
5.167 -1.092 8.334
6.151 -0.887 2.358
8.603 0.565 6.923
7.053 -1.394 6.654
8.616 -0.565 2.098
```

Calculated values
E_form (uncorrected) ... -1.990 eV per atom
Magnetic moment ... 8.00 μB/cell
Space group ... Cc



(3)
Here is crystalline LiFeP3O9 at its relaxed geometry from the Alexandria database. Energies are from PBEsol.

Structure (POSCAR):
```
LiFeP3O9
1.0
5.081 2.934 2.322
-5.081 2.934 2.322
0.000 -5.867 2.322
Li Fe P O
1 1 3 9
Cartesian
0.000 0.000 0.000
0.000 0.000 4.424
-2.830 -0.857 3.236
2.157 -2.023 3.236
0.673 2.880 3.236
-3.821 -1.946 3.544
-3.273 0.465 4.061
-1.370 -1.110 3.406
1.234 -3.066 4.061
-0.277 1.742 3.406
1.647 -0.631 3.406
3.596 -2.336 3.544
0.225 4.282 3.544
2.039 2.602 4.061
```

Calculated values
E_form (uncorrected) ... -1.988 eV per atom
Magnetic moment ... 4.00 μB/cell
Space group ... R3



(4)
Here is crystalline LiFe2P2O8 at its relaxed geometry from the Alexandria database. Energies are from PBEsol.

Structure (POSCAR):
```
LiFe2P2O8
1.0
3.973 -2.631 0.000
3.973 2.631 0.000
-0.145 0.000 6.067
Li Fe P O
1 2 2 8
Cartesian
0.000 0.000 0.000
5.281 0.000 1.584
5.225 0.000 4.471
0.104 0.000 3.079
2.470 0.000 5.886
5.004 1.366 3.098
3.408 0.000 1.117
3.343 0.000 4.652
5.460 1.379 5.899
5.004 -1.366 3.098
7.138 0.000 4.304
7.257 0.000 1.766
5.460 -1.379 5.899
```

Calculated values
E_form (uncorrected) ... -1.817 eV per atom
Magnetic moment ... 4.99 μB/cell
Space group ... Cm



(5)
Here is crystalline Li2FeP2O7 at its relaxed geometry from the Alexandria database. Energies are from PBEsol.

Structure (POSCAR):
```
Li2FeP2O7
1.0
-3.099 6.503 3.662
3.099 -6.503 3.662
3.099 6.503 -3.662
Li Fe P O
4 2 4 14
Cartesian
1.549 6.799 -1.831
1.549 0.297 1.831
-1.549 6.206 1.831
1.549 6.206 1.831
-1.549 3.251 1.831
1.549 3.251 1.831
3.099 1.823 -0.378
3.099 4.680 -0.378
0.000 1.823 4.040
0.000 4.680 4.040
3.099 3.251 -1.133
3.099 -0.758 1.439
1.834 1.801 0.515
4.364 1.801 0.515
3.099 5.745 -1.439
1.834 4.702 0.515
1.265 -1.801 4.177
1.834 8.303 -0.515
1.265 1.801 3.147
0.000 0.758 5.101
-1.265 4.702 3.147
1.265 4.702 3.147
0.000 7.261 2.223
0.000 3.251 4.795
```

Calculated values
E_form (uncorrected) ... -2.061 eV per atom
Magnetic moment ... 8.00 μB/cell
Space group ... Imma



(6)
Here is crystalline Li2FeP2O7 at its relaxed geometry from the Alexandria database. Energies are from PBEsol.

Structure (POSCAR):
```
Li2FeP2O7
1.0
7.672 -2.502 0.000
7.672 2.502 0.000
-3.788 0.000 7.936
Li Fe P O
4 2 4 14
Cartesian
2.708 0.732 0.411
0.814 -0.732 4.379
10.742 0.732 3.557
8.848 -0.732 7.525
0.000 0.000 0.000
-1.894 0.000 3.968
3.504 0.689 5.418
6.158 0.689 6.486
5.398 -0.689 1.450
8.052 -0.689 2.518
4.021 1.746 4.422
2.882 1.372 6.650
4.515 0.358 0.839
5.642 1.746 7.482
6.780 1.372 5.254
2.621 -0.358 4.807
6.725 0.085 1.984
4.831 -0.085 5.952
8.935 0.358 3.129
4.776 -1.372 2.682
5.914 -1.746 0.454
7.041 -0.358 7.097
8.674 -1.372 1.286
7.536 -1.746 3.514
```

Calculated values
E_form (uncorrected) ... -2.073 eV per atom
Magnetic moment ... 8.00 μB/cell
Space group ... C2/c